(1)
Here is a geometry-optimized Ta2Si structure from Alexandria. Energies are from GGA-PBE.

abc: 6.0320 6.0320 6.0320
angles: 90.00 90.00 90.00
Sites, in units of the cell vectors:
Ta  0.1351  0.1351  0.1351
Ta  0.1351  0.3649  0.6351
Ta  0.3649  0.6351  0.1351
Ta  0.3649  0.8649  0.6351
Ta  0.6351  0.1351  0.3649
Ta  0.6351  0.3649  0.8649
Ta  0.8649  0.6351  0.3649
Ta  0.8649  0.8649  0.8649
Si  0.0000  0.0000  0.5000
Si  0.0000  0.5000  0.0000
Si  0.5000  0.0000  0.0000
Si  0.5000  0.5000  0.5000

## Properties
Its final energy is -9.49 eV per atom. Its space group is Pa-3, No. 205. The calculation puts the size of the total moment at 0.0 μB per formula unit.

---

(2)
Here is a geometry-optimized Ta2Si3 structure from Alexandria. Energies are from GGA-PBE.

abc: 10.5517 10.5517 10.5517
angles: 16.05 16.05 16.05
Sites, in units of the cell vectors:
Ta  0.0975  0.0975  0.0975
Ta  0.9025  0.9025  0.9025
Si  0.3030  0.3030  0.3030
Si  0.5000  0.5000  0.5000
Si  0.6970  0.6970  0.6970

## Properties
Its final energy is -8.04 eV per atom. The value obtained for the relative energy among the computed polymorphs is 0.1663 eV per atom. Its space group is R-3m, No. 166. The calculation puts the size of the total moment at 0.0 μB per formula unit.

---

(3)
Here is a geometry-optimized Ta5Si3 structure from Alexandria. Energies are from GGA-PBE.

abc: 7.5265 7.5265 5.2701
angles: 90.00 90.00 120.00
Sites, in units of the cell vectors:
Ta  0.0000  0.2455  0.2500
Ta  0.0000  0.7545  0.7500
Ta  0.2455  0.0000  0.2500
Ta  0.2455  0.2455  0.7500
Ta  0.3333  0.6667  0.0000
Ta  0.3333  0.6667  0.5000
Ta  0.6667  0.3333  0.0000
Ta  0.6667  0.3333  0.5000
Ta  0.7545  0.0000  0.7500
Ta  0.7545  0.7545  0.2500
Si  0.0000  0.3955  0.7500
Si  0.0000  0.6045  0.2500
Si  0.3955  0.0000  0.7500
Si  0.3955  0.3955  0.2500
Si  0.6045  0.0000  0.2500
Si  0.6045  0.6045  0.7500

## Properties
Its final energy is -9.95 eV per atom. The value obtained for the relative energy among the computed polymorphs is 0.1139 eV per atom. Its space group is P6_3/mcm, No. 193. The calculation puts the size of the total moment at 0.0 μB per formula unit.

---

(4)
Here is a geometry-optimized Ta2Si structure from Alexandria. Energies are from GGA-PBE.

abc: 5.3696 6.2060 3.3602
angles: 90.00 90.00 90.00
Sites, in units of the cell vectors:
Ta  0.2096  0.1469  0.0000
Ta  0.2904  0.6469  0.5000
Ta  0.7096  0.3531  0.5000
Ta  0.7904  0.8531  0.0000
Si  0.0000  0.5000  0.0000
Si  0.5000  0.0000  0.5000

## Properties
Its final energy is -9.43 eV per atom. Its space group is Pnnm, No. 58. The calculation puts the size of the total moment at 0.0 μB per formula unit.

---

(5)
Here is a geometry-optimized Ta3Si structure from Alexandria. Energies are from GGA-PBE.

abc: 9.2646 9.2646 9.2646
angles: 155.55 155.55 34.85
Sites, in units of the cell vectors:
Ta  0.0000  0.5000  0.5000
Ta  0.1237  0.1237  0.0000
Ta  0.2500  0.7500  0.5000
Ta  0.5000  0.0000  0.5000
Ta  0.7500  0.2500  0.5000
Ta  0.8763  0.8763  0.0000
Si  0.3761  0.3761  0.0000
Si  0.6239  0.6239  0.0000

## Properties
Its final energy is -10.35 eV per atom. Its space group is I4/mmm, No. 139. The calculation puts the size of the total moment at 0.0 μB per formula unit.

---

(6)
Here is a geometry-optimized Ta2Si structure from Alexandria. Energies are from GGA-PBE.

abc: 4.6415 4.6415 2.7462
angles: 90.00 90.00 120.00
Sites, in units of the cell vectors:
Ta  0.3333  0.6667  0.0000
Ta  0.6667  0.3333  0.0000
Si  0.0000  0.0000  0.5000

## Properties
Its final energy is -9.33 eV per atom. Its space group is P6/mmm, No. 191. The calculation puts the size of the total moment at 0.0 μB per formula unit.

---

(7)
Here is a geometry-optimized Ta4Si structure from Alexandria. Energies are from GGA-PBE.

abc: 4.6272 4.6272 4.6272
angles: 90.00 90.00 90.00
Sites, in units of the cell vectors:
Ta  0.0000  0.0000  0.0000
Ta  0.0000  0.5000  0.5000
Ta  0.5000  0.0000  0.5000
Ta  0.5000  0.5000  0.0000
Si  0.5000  0.5000  0.5000

## Properties
Its final energy is -9.81 eV per atom. The value obtained for the relative energy among the computed polymorphs is 0.8641 eV per atom. Its space group is Pm-3m, No. 221. The calculation puts the size of the total moment at 0.0 μB per formula unit.

---

(8)
Here is a geometry-optimized Tb2Ta3Si4 structure from Alexandria. Energies are from GGA-PBE.

abc: 7.0402 7.0484 6.8988
angles: 90.00 108.86 90.00
Sites, in units of the cell vectors:
Tb  0.1872  0.1693  0.0643
Tb  0.1872  0.3307  0.5643
Tb  0.8128  0.6693  0.4357
Tb  0.8128  0.8307  0.9357
Ta  0.2562  0.6758  0.2476
Ta  0.2562  0.8242  0.7476
Ta  0.5000  0.0000  0.5000
Ta  0.5000  0.5000  0.0000
Ta  0.7438  0.1758  0.2524
Ta  0.7438  0.3242  0.7524
Si  0.0841  0.5368  0.8675
Si  0.0841  0.9632  0.3675
Si  0.4934  0.1259  0.8714
Si  0.4934  0.3741  0.3714
Si  0.5066  0.6259  0.6286
Si  0.5066  0.8741  0.1286
Si  0.9159  0.0368  0.6325
Si  0.9159  0.4632  0.1325

## Properties
Its final energy is -8.15 eV per atom. Its space group is P2_1/c, No. 14. The calculation puts the size of the total moment at 0.0 μB per formula unit.

---

> What is the size of the total moment in the third record?

0.0 μB per formula unit